Here is a relaxed structure of PmEr2Co2 from Alexandria via LeMat-Bulk. Energies are from PBE-GGA.

Fermi-level density of states: 8.82 states/eV/cell
Formation energy: -78 meV/atom
VASP energy: -57.0 eV per cell
Size of the total moment: 0.01 μB per cell
Crystal system: monoclinic
Calculated density: 8.7 g/cm3

Unit cell a=11.374 b=3.745 c=5.489 alpha=90.00 beta=103.97 gamma=90.00
Space group C2/m (No. 12)
Unique sites:
1 Pm 0.000 0.000 0.000 (multiplicity 2)
2 Er 0.150 0.500 0.583 (multiplicity 4)
3 Co 0.219 0.500 0.105 (multiplicity 4)

---

Here is a relaxed structure of Ca2LaOs from Alexandria via LeMat-Bulk. Energies are from PBE-GGA.

Fermi-level density of states: 4.64 states/eV/cell
Formation energy: 114 meV/atom
VASP energy: -19.7 eV per cell
Size of the total moment: 0.00 μB per cell
Crystal system: monoclinic
Calculated density: 5.5 g/cm3

Unit cell a=3.547 b=3.546 c=9.911 alpha=90.00 beta=90.03 gamma=90.00
Space group Pm (No. 6)
Unique sites:
1 Ca 0.000 0.000 0.000 (multiplicity 1)
2 Ca 0.497 0.500 0.675 (multiplicity 1)
3 La 0.998 0.000 0.338 (multiplicity 1)
4 Os 0.500 0.500 0.180 (multiplicity 1)